Record 1
VASP calculation (meta-GGA SCAN) on a crystal of TaAlTl relaxed with PBEsol.

Cell and atoms, written as POSCAR:
```
TaAlTl
1.0
-1.504 1.881 5.006
1.504 -1.881 5.006
1.504 1.881 -5.006
Ta Al Tl
1 1 1
Cartesian
0.000 0.000 0.000
0.000 0.000 3.670
0.000 0.000 6.875
```

Results
space-group type: No. 44



Record 2
VASP calculation (meta-GGA SCAN) on a crystal of MgTlTe2 relaxed with PBEsol.

Cell and atoms, written as POSCAR:
```
MgTlTe2
1.0
-3.341 3.341 6.822
3.341 -3.341 6.822
3.341 3.341 -6.822
Mg Tl Te
2 2 4
Cartesian
0.000 0.000 0.000
0.000 3.341 3.411
3.341 0.000 3.411
0.000 0.000 6.822
5.012 1.456 -1.705
1.456 1.671 1.705
-1.671 1.886 5.116
1.886 1.671 8.527
```

Results
ΔE_f (raw): -0.467 eV per atom
space-group type: No. 122



no.,energy (eV/cell)
1,-145.60
2,-307.40